# LaNiSb3 PBE-GGA optimized geometry
# - Uncorrected formation energy: -613 meV per atom
# - Distance to the lowest polymorph of the same formula: 19 kJ/mol of formula units
# - Space group: Pbcm (57)
# - Total energy: -5.2284 eV/atom
data_LaNiSb3
_cell_length_a 13.023
_cell_length_b 6.233
_cell_length_c 6.143
_cell_angle_alpha 90.00
_cell_angle_beta 90.00
_cell_angle_gamma 90.00
_symmetry_space_group_name_H-M 'P 1'
_symmetry_Int_Tables_number 1
loop_
_symmetry_equiv_pos_as_xyz
'x,y,z'
loop_
_atom_site_label
_atom_site_type_symbol
_atom_site_fract_x
_atom_site_fract_y
_atom_site_fract_z
La1 La 0.197 0.001 0.250
La2 La 0.197 0.499 0.750
La3 La 0.803 0.501 0.250
La4 La 0.803 0.999 0.750
Ni1 Ni 0.406 0.250 0.000
Ni2 Ni 0.406 0.250 0.500
Ni3 Ni 0.594 0.750 0.000
Ni4 Ni 0.594 0.750 0.500
Sb1 Sb 0.001 0.250 0.000
Sb2 Sb 0.001 0.250 0.500
Sb3 Sb 0.288 0.501 0.250
Sb4 Sb 0.288 0.999 0.750
Sb5 Sb 0.449 0.599 0.750
Sb6 Sb 0.449 0.901 0.250
Sb7 Sb 0.551 0.099 0.750
Sb8 Sb 0.551 0.401 0.250
Sb9 Sb 0.712 0.001 0.250
Sb10 Sb 0.712 0.499 0.750
Sb11 Sb 0.999 0.750 0.000
Sb12 Sb 0.999 0.750 0.500